# LiCd4Ge5HO15, optimized geometry, DFT PBE-GGA
# DOS at the Fermi energy in states/eV per cell: 0.0
# Uncorrected energy in eV/cell: -291.114
# M_tot in Bohr magnetons per cell: 0.00
data_LiCd4Ge5HO15
_chemical_formula_sum 'Li2 Cd8 Ge10 H2 O30'
_symmetry_space_group_name_H-M 'P 1'
_symmetry_Int_Tables_number 1
_cell_length_a 7.200
_cell_length_b 8.074
_cell_length_c 12.477
_cell_angle_alpha 105.72
_cell_angle_beta 93.08
_cell_angle_gamma 94.68
loop_
_symmetry_equiv_pos_as_xyz
'x,y,z'
loop_
_atom_site_label
_atom_site_type_symbol
_atom_site_fract_x
_atom_site_fract_y
_atom_site_fract_z
Li1 Li 0.177 0.366 0.405
Li2 Li 0.823 0.634 0.595
Cd1 Cd 0.227 0.755 0.981
Cd2 Cd 0.314 0.964 0.264
Cd3 Cd 0.367 0.184 0.557
Cd4 Cd 0.445 0.405 0.849
Cd5 Cd 0.555 0.595 0.151
Cd6 Cd 0.633 0.816 0.443
Cd7 Cd 0.686 0.036 0.736
Cd8 Cd 0.773 0.245 0.019
Ge1 Ge 0.072 0.525 0.175
Ge2 Ge 0.142 0.725 0.444
Ge3 Ge 0.207 0.993 0.773
Ge4 Ge 0.278 0.181 0.040
Ge5 Ge 0.395 0.646 0.648
Ge6 Ge 0.605 0.354 0.352
Ge7 Ge 0.722 0.819 0.960
Ge8 Ge 0.793 0.007 0.227
Ge9 Ge 0.858 0.275 0.556
Ge10 Ge 0.928 0.475 0.825
H1 H 0.020 0.086 0.389
H2 H 0.980 0.914 0.611
O1 O 0.007 0.007 0.305
O2 O 0.062 0.209 0.495
O3 O 0.084 0.544 0.322
O4 O 0.104 0.298 0.118
O5 O 0.145 0.069 0.911
O6 O 0.151 0.476 0.887
O7 O 0.236 0.591 0.524
O8 O 0.245 0.675 0.151
O9 O 0.275 0.780 0.760
O10 O 0.316 0.887 0.436
O11 O 0.334 0.011 0.094
O12 O 0.382 0.121 0.731
O13 O 0.401 0.238 0.379
O14 O 0.438 0.455 0.678
O15 O 0.465 0.324 0.024
O16 O 0.535 0.676 0.976
O17 O 0.562 0.545 0.322
O18 O 0.599 0.762 0.621
O19 O 0.618 0.879 0.269
O20 O 0.666 0.989 0.906
O21 O 0.684 0.113 0.564
O22 O 0.725 0.220 0.240
O23 O 0.755 0.325 0.849
O24 O 0.764 0.409 0.476
O25 O 0.849 0.524 0.113
O26 O 0.855 0.931 0.089
O27 O 0.896 0.702 0.882
O28 O 0.916 0.456 0.678
O29 O 0.938 0.791 0.505
O30 O 0.993 0.993 0.695